(1)
PBE NdSnIr, relaxed; E = -6.473 eV/atom; theoretical density = 11.17 g/cm3; spin magnetization = 0.02 μB per cell
1.0
7.251 0.000 0.000
-3.626 6.280 0.000
0.000 0.000 4.458
Nd Sn Ir
3 3 3
direct
0.000 0.570 0.000
0.430 0.430 0.000
0.570 0.000 0.000
0.000 0.000 0.000
0.333 0.667 0.500
0.667 0.333 0.500
0.000 0.233 0.500
0.233 0.000 0.500
0.767 0.767 0.500

(2)
PBE Ag3AsS3, relaxed; polymorph energy (0 for the lowest one) = 0.25 kcal/mol of atoms; E = -3.740 eV/atom; theoretical density = 5.17 g/cm3
1.0
5.586 3.225 2.942
-5.586 3.225 2.942
0.000 -6.450 2.942
Ag As S
6 2 6
direct
0.105 0.256 0.640
0.140 0.756 0.605
0.256 0.640 0.105
0.605 0.140 0.756
0.640 0.105 0.256
0.756 0.605 0.140
0.073 0.073 0.073
0.573 0.573 0.573
0.301 0.306 0.989
0.306 0.989 0.301
0.489 0.806 0.801
0.801 0.489 0.806
0.806 0.801 0.489
0.989 0.301 0.306

(3)
PBE AlFeBi2, relaxed; E = -4.345 eV/atom; theoretical density = 9.40 g/cm3; spin magnetization = 2.44 μB per cell
1.0
0.000 3.537 3.537
3.537 0.000 3.537
3.537 3.537 0.000
Al Fe Bi
1 1 2
direct
0.000 0.000 0.000
0.250 0.250 0.250
0.500 0.500 0.500
0.750 0.750 0.750

(4)
PBE ScTcBi, relaxed; polymorph energy (0 for the lowest one) = 10.63 kcal/mol of atoms; E = -6.360 eV/atom; theoretical density = 8.33 g/cm3; spin magnetization = 0.01 μB per cell
1.0
0.000 3.274 3.274
3.274 0.000 3.274
3.274 3.274 0.000
Sc Tc Bi
1 1 1
direct
0.000 0.000 0.000
0.250 0.250 0.250
0.750 0.750 0.750

(5)
PBE Ho2Al4IrAu, relaxed; E = -5.306 eV/atom; theoretical density = 8.95 g/cm3; spin magnetization = 0.03 μB per cell
1.0
7.001 0.000 0.000
0.000 2.134 5.135
0.000 -2.134 5.135
Ho Al Ir Au
2 4 1 1
direct
0.000 0.000 0.000
0.500 0.145 0.145
0.202 0.715 0.715
0.310 0.431 0.431
0.690 0.431 0.431
0.798 0.715 0.715
0.500 0.862 0.862
0.000 0.285 0.285

(6)
PBE Li2Al2MoOs2W, relaxed; E = -7.493 eV/atom; theoretical density = 10.83 g/cm3; spin magnetization = 0.00 μB per cell
1.0
4.290 0.000 0.000
0.000 4.290 0.000
0.000 0.000 6.067
Li Al Mo Os W
2 2 1 2 1
direct
0.000 0.500 0.250
0.500 0.000 0.750
0.000 0.000 0.000
0.500 0.500 0.500
0.000 0.000 0.500
0.000 0.500 0.751
0.500 0.000 0.249
0.500 0.500 0.000

(7)
PBE HfBeTeW, relaxed; polymorph energy (0 for the lowest one) = 2.80 kcal/mol of atoms; E = -6.883 eV/atom; theoretical density = 11.94 g/cm3; spin magnetization = 0.00 μB per cell
1.0
0.000 3.262 3.262
3.262 0.000 3.262
3.262 3.262 0.000
Hf Be Te W
1 1 1 1
direct
0.000 0.000 0.000
0.250 0.250 0.250
0.500 0.500 0.500
0.750 0.750 0.750

(8)
PBE NpOsAu, relaxed; polymorph energy (0 for the lowest one) = 0.00 kcal/mol of atoms; ΔH_f (0 K) = 452.3 meV per atom; E = -8.635 eV/atom; theoretical density = 15.46 g/cm3; spin magnetization = 2.81 μB per cell
1.0
0.000 3.225 3.225
3.225 0.000 3.225
3.225 3.225 0.000
Np Os Au
1 1 1
direct
0.000 0.000 0.000
0.750 0.750 0.750
0.500 0.500 0.500

(9)
PBE Gd2Ni12P7, relaxed; E = -6.206 eV/atom; theoretical density = 7.85 g/cm3; spin magnetization = 0.00 μB per cell
1.0
9.037 0.000 0.000
-4.519 7.826 0.000
0.000 0.000 3.695
Gd Ni P
2 12 7
direct
0.000 0.000 0.000
0.333 0.667 0.500
0.047 0.763 0.500
0.100 0.394 0.000
0.237 0.284 0.500
0.293 0.900 0.000
0.393 0.210 0.000
0.546 0.118 0.500
0.572 0.454 0.500
0.606 0.707 0.000
0.716 0.953 0.500
0.790 0.182 0.000
0.818 0.607 0.000
0.882 0.428 0.500
0.072 0.628 0.000
0.263 0.038 0.500
0.372 0.445 0.000
0.555 0.928 0.000
0.667 0.333 0.000
0.775 0.737 0.500
0.962 0.225 0.500

(10)
PBE LaPuS2F2, relaxed; E = -8.020 eV/atom; theoretical density = 7.47 g/cm3; spin magnetization = 5.00 μB per cell
1.0
3.934 0.000 0.000
0.000 3.934 0.000
0.000 0.000 6.965
La Pu S F
1 1 2 2
direct
0.000 0.000 0.000
0.500 0.500 0.469
0.000 0.000 0.573
0.500 0.500 0.870
0.000 0.500 0.230
0.500 0.000 0.230

(11)
PBE ThBPt3, relaxed; E = -7.386 eV/atom; theoretical density = 16.32 g/cm3; spin magnetization = 0.00 μB per cell
1.0
3.996 0.000 0.000
0.000 3.996 0.000
0.000 0.000 5.275
Th B Pt
1 1 3
direct
0.000 0.000 0.000
0.500 0.500 0.251
0.000 0.500 0.454
0.500 0.000 0.454
0.500 0.500 0.841

(12)
PBE NdBiPd, relaxed; E = -5.191 eV/atom; theoretical density = 9.65 g/cm3; spin magnetization = 0.00 μB per cell
1.0
-1.959 2.169 4.652
1.959 -2.169 4.652
1.959 2.169 -4.652
Nd Bi Pd
1 1 1
direct
0.000 0.000 0.000
0.332 0.332 0.000
0.645 0.645 0.000

(13)
PBE ThZrBe, relaxed; E = -6.258 eV/atom; theoretical density = 7.95 g/cm3; spin magnetization = 0.02 μB per cell
1.0
0.000 3.261 3.261
3.261 0.000 3.261
3.261 3.261 0.000
Th Zr Be
1 1 1
direct
0.000 0.000 0.000
0.500 0.500 0.500
0.250 0.250 0.250

(14)
PBE LiNbTeAuSe2, relaxed; E = -4.727 eV/atom; theoretical density = 7.55 g/cm3; spin magnetization = 0.03 μB per cell
1.0
1.794 -6.907 0.000
1.794 6.907 0.000
0.000 0.000 10.337
Li Nb Te Au Se
2 2 2 2 4
direct
0.202 0.798 0.750
0.798 0.202 0.250
0.000 0.000 0.000
0.000 0.000 0.500
0.115 0.885 0.250
0.885 0.115 0.750
0.455 0.545 0.250
0.545 0.455 0.750
0.360 0.640 0.042
0.360 0.640 0.458
0.640 0.360 0.542
0.640 0.360 0.958

(15)
PBE KPrO3, relaxed; E = -5.853 eV/atom; theoretical density = 4.07 g/cm3; spin magnetization = 4.00 μB per cell
1.0
3.235 1.867 5.128
-3.235 1.867 5.128
0.000 -3.735 5.128
K Pr O
2 2 6
direct
0.250 0.250 0.250
0.750 0.750 0.750
0.000 0.000 0.000
0.500 0.500 0.500
0.175 0.750 0.325
0.250 0.675 0.825
0.325 0.175 0.750
0.675 0.825 0.250
0.750 0.325 0.175
0.825 0.250 0.675

(16)
PBE DyAgPbSe3, relaxed; polymorph energy (0 for the lowest one) = 0.04 kcal/mol of atoms; E = -4.571 eV/atom; theoretical density = 7.57 g/cm3; spin magnetization = 0.00 μB per cell
1.0
9.057 -2.051 0.000
9.057 2.051 0.000
-1.956 0.000 8.438
Dy Ag Pb Se
2 2 2 6
direct
0.165 0.165 0.090
0.835 0.835 0.910
0.468 0.468 0.787
0.532 0.532 0.213
0.132 0.132 0.574
0.868 0.868 0.426
0.000 0.000 0.000
0.315 0.315 0.671
0.328 0.328 0.141
0.500 0.500 0.500
0.672 0.672 0.859
0.685 0.685 0.329

(17)
PBE ZrI2Cl2, relaxed; E = -4.400 eV/atom; theoretical density = 3.63 g/cm3; spin magnetization = 0.01 μB per cell
1.0
6.925 0.000 0.000
0.000 8.844 0.000
-1.507 0.000 6.208
Zr I Cl
2 4 4
direct
0.000 0.140 0.250
0.000 0.860 0.750
0.264 0.342 0.478
0.264 0.658 0.978
0.736 0.342 0.022
0.736 0.658 0.522
0.205 0.090 0.980
0.205 0.910 0.480
0.795 0.090 0.520
0.795 0.910 0.020

(18)
PBE Au, relaxed; polymorph energy (0 for the lowest one) = 0.00 kcal/mol of atoms; ΔH_f (0 K) = 0.0 meV per atom; E = -3.267 eV/atom; theoretical density = 18.47 g/cm3
1.0
0.000 2.069 2.069
2.069 0.000 2.069
2.069 2.069 0.000
Au
1
direct
0.000 0.000 0.000

(19)
PBE LuPa, relaxed; polymorph energy (0 for the lowest one) = 0.00 kcal/mol of atoms; ΔH_f (0 K) = 137.3 meV per atom; E = -6.872 eV/atom; theoretical density = 12.73 g/cm3; spin magnetization = 0.00 μB per cell
1.0
3.271 0.000 0.000
-1.635 2.833 0.000
0.000 0.000 5.714
Lu Pa
1 1
direct
0.000 0.000 0.000
0.667 0.333 0.500

(20)
PBE GdCo2BP, relaxed; E = -6.971 eV/atom; theoretical density = 7.98 g/cm3; spin magnetization = 0.01 μB per cell
1.0
-1.826 1.826 4.945
1.826 -1.826 4.945
1.826 1.826 -4.945
Gd Co B P
1 2 1 1
direct
0.000 0.000 0.000
0.237 0.737 0.500
0.737 0.237 0.500
0.646 0.646 0.000
0.364 0.364 0.000